# FeAs2WSe (PBE-GGA, relaxed)
# E above lowest polymorph = 0.000 eV per atom
# Mass density = 6.59 g/cm3
# Total magnetization = 3.5 μB per cell
# Raw formation energy = 0.94 eV/atom
data_FeAs2WSe
_cell_length_a 4.912
_cell_length_b 4.912
_cell_length_c 4.889
_cell_angle_alpha 90.00
_cell_angle_beta 90.00
_cell_angle_gamma 90.00
_symmetry_space_group_name_H-M 'P 4/m m m'
_symmetry_Int_Tables_number 123
_symmetry_space_group_name_Hall '-P 4 2'
loop_
_atom_site_label
_atom_site_type_symbol
_atom_site_fract_x
_atom_site_fract_y
_atom_site_fract_z
_atom_site_occupancy
Fe1 Fe 0.000 0.000 0.000 1
As1 As 0.000 0.500 0.500 1
W1 W 0.500 0.500 0.500 1
Se1 Se 0.500 0.500 0.000 1